# 1
DFT (PBE-GGA) results for a relaxed LaThSi4 crystal.

The total energy comes out at -75.6 eV for the cell shown. The calculation puts the energy relative to the elements, uncorrected at -0.62 eV per atom. The total magnetization comes out at 0.000 μB per formula unit.

It has space group Immm (No. 71), with a = 4.072 Å, b = 7.249 Å, c = 8.522 Å, α = 90.00°, β = 90.00° and γ = 90.00°. The distinct sites, in fractional coordinates, are La at (0.000, 0.000, 0.000), Th at (0.000, 0.000, 0.500) and Si at (0.000, 0.335, 0.248).

=====

# 2
DFT (PBE-GGA) results for a relaxed ScAlOs crystal.

The total energy comes out at -22.4 eV for the cell shown. The total magnetization comes out at 0.000 μB per formula unit. The energy of formation from the pure elements comes out at -1.11 eV per formula unit.

It has space group P-6m2 (No. 187), with a = 4.3043 Å, b = 4.3043 Å, c = 3.2159 Å, α = 90.00°, β = 90.00° and γ = 120.00°. The distinct sites, in fractional coordinates, are Sc at (0.0000, 0.0000, 0.0000), Al at (0.6667, 0.3333, 0.5000) and Os at (0.3333, 0.6667, 0.5000).

=====

# 3
DFT (PBE-GGA) results for a relaxed AcTb3PmTm crystal.

The total energy comes out at -103.4 eV for the cell shown. The total magnetization comes out at 0.000 μB per formula unit. The energy of formation from the pure elements comes out at 1.36 eV per formula unit.

It has space group C2/m (No. 12), with a = 19.617 Å, b = 5.707 Å, c = 7.528 Å, α = 90.00°, β = 90.99° and γ = 90.00°. The distinct sites, in fractional coordinates, are Ac at (0.142, 0.000, 0.022), Tb at (0.022, 0.000, 0.708), Tb at (0.166, 0.500, 0.712), Tb at (0.219, 0.500, 0.250), Pm at (0.051, 0.500, 0.292) and Tm at (0.153, 0.000, 0.455).

=====

# 4
DFT (PBE-GGA) results for a relaxed Ca2ScPt crystal.

The total energy comes out at -35.0 eV for the cell shown. The calculation puts the energy relative to the lowest polymorph listed for this composition at 1.109 eV/f.u. The total magnetization comes out at 0.000 μB per formula unit. The energy of formation from the pure elements comes out at -1.11 eV per formula unit.

It has space group I-4m2 (No. 119), with a = 5.063 Å, b = 5.063 Å, c = 7.254 Å, α = 90.00°, β = 90.00° and γ = 90.00°. The distinct sites, in fractional coordinates, are Ca at (0.000, 0.000, 0.000), Ca at (0.000, 0.500, 0.250), Sc at (0.000, 0.000, 0.500) and Pt at (0.000, 0.500, 0.750).

=====

# 5
DFT (PBE-GGA) results for a relaxed Sr2HgW crystal.

The total energy comes out at -26.1 eV for the cell shown. The total magnetization comes out at 3.016 μB per formula unit. The energy of formation from the pure elements comes out at 3.57 eV per formula unit.

It has space group I-4m2 (No. 119), with a = 4.814 Å, b = 4.814 Å, c = 9.976 Å, α = 90.00°, β = 90.00° and γ = 90.00°. The distinct sites, in fractional coordinates, are Sr at (0.000, 0.000, 0.000), Sr at (0.000, 0.500, 0.250), Hg at (0.000, 0.000, 0.500) and W at (0.000, 0.500, 0.750).

=====

# 6
DFT (PBE-GGA) results for a relaxed CeInRuRh crystal.

The total energy comes out at -108.7 eV for the cell shown. The calculation puts the energy relative to the lowest polymorph listed for this composition at 0.206 eV/f.u. The total magnetization comes out at 0.036 μB per formula unit. The energy of formation from the pure elements comes out at -1.88 eV per formula unit.

It has space group F-43m (No. 216), with a = 6.705 Å, b = 6.705 Å, c = 6.705 Å, α = 90.00°, β = 90.00° and γ = 90.00°. The distinct sites, in fractional coordinates, are Ce at (0.000, 0.000, 0.000), In at (0.000, 0.000, 0.500), Ru at (0.250, 0.250, 0.750) and Rh at (0.250, 0.250, 0.250).